(1)
The following is a PBE calculation of a geometry-optimized Y2AsPPd6 structure, from Alexandria.

The structure in CIF format:
```
data_Y2AsPPd6
_space_group_name_H-M_alt 'P m m n'
_space_group_IT_number 59
_cell_length_a 5.542
_cell_length_b 8.718
_cell_length_c 7.970
_cell_angle_alpha 90.00
_cell_angle_beta 90.00
_cell_angle_gamma 90.00
loop_
_space_group_symop_operation_xyz
'x,y,z'
'-x,-y,-z'
'-x+1/2,-y+1/2,z'
'x+1/2,y+1/2,-z'
'x+1/2,-y,-z'
'-x+1/2,y,z'
'-x,y+1/2,-z'
'x,-y+1/2,z'
loop_
_atom_site_label
_atom_site_type_symbol
_atom_site_fract_x
_atom_site_fract_y
_atom_site_fract_z
Y1 Y 0.250 0.009 0.241
As1 As 0.250 0.750 0.774
P1 P 0.250 0.250 0.743
Pd1 Pd 0.001 0.750 0.501
Pd2 Pd 0.002 0.250 0.975
Pd3 Pd 0.250 0.001 0.626
```

Values from the calculation:
Calculated formation energy, meV per atom: -749
DFT total energy, eV/f.u.: -61.630

(2)
The following is a PBE calculation of a geometry-optimized NiH2Pt2 structure, from Alexandria.

The structure in CIF format:
```
data_NiH2Pt2
_space_group_name_H-M_alt 'I 4/m m m'
_space_group_IT_number 139
_space_group_name_Hall '-I 4 2'
_cell_length_a 3.029
_cell_length_b 3.029
_cell_length_c 10.830
_cell_angle_alpha 90.00
_cell_angle_beta 90.00
_cell_angle_gamma 90.00
loop_
_atom_site_label
_atom_site_type_symbol
_atom_site_fract_x
_atom_site_fract_y
_atom_site_fract_z
Ni1 Ni 0.000 0.000 0.000
H1 H 0.000 0.500 0.250
Pt1 Pt 0.000 0.000 0.359
```

Values from the calculation:
DFT total energy, eV/f.u.: -24.068

(3)
The following is a PBE calculation of a geometry-optimized AlAsRh structure, from Alexandria.

The structure in CIF format:
```
data_AlAsRh
_space_group_name_H-M_alt 'P -6 m 2'
_space_group_IT_number 187
_space_group_name_Hall 'P -6 2'
_cell_length_a 4.3203
_cell_length_b 4.3203
_cell_length_c 2.8905
_cell_angle_alpha 90.00
_cell_angle_beta 90.00
_cell_angle_gamma 120.00
loop_
_atom_site_label
_atom_site_type_symbol
_atom_site_fract_x
_atom_site_fract_y
_atom_site_fract_z
Al1 Al 0.0000 0.0000 0.0000
As1 As 0.6667 0.3333 0.5000
Rh1 Rh 0.3333 0.6667 0.5000
```

Values from the calculation:
Calculated formation energy, meV per atom: -259
DFT total energy, eV/f.u.: -16.519

(4)
The following is a PBE calculation of a geometry-optimized CaPm3Er3 structure, from Alexandria.

The structure in CIF format:
```
data_CaPm3Er3
_space_group_name_H-M_alt 'R -3'
_space_group_IT_number 148
_space_group_name_Hall '-R 3'
_cell_length_a 8.6983
_cell_length_b 8.6983
_cell_length_c 22.5187
_cell_angle_alpha 90.00
_cell_angle_beta 90.00
_cell_angle_gamma 120.00
loop_
_atom_site_label
_atom_site_type_symbol
_atom_site_fract_x
_atom_site_fract_y
_atom_site_fract_z
Ca1 Ca 0.0000 0.0000 0.1547
Pm1 Pm 0.0544 0.6090 0.3777
Er1 Er 0.0094 0.7791 0.5584
```

Values from the calculation:
Calculated formation energy, meV per atom: 217
DFT total energy, eV/f.u.: -28.421

(5)
The following is a PBE calculation of a geometry-optimized Nd12TmTl3 structure, from Alexandria.

The structure in CIF format:
```
data_Nd12TmTl3
_space_group_name_H-M_alt 'P 4/m m m'
_space_group_IT_number 123
_space_group_name_Hall '-P 4 2'
_cell_length_a 5.002
_cell_length_b 5.002
_cell_length_c 20.399
_cell_angle_alpha 90.00
_cell_angle_beta 90.00
_cell_angle_gamma 90.00
loop_
_atom_site_label
_atom_site_type_symbol
_atom_site_fract_x
_atom_site_fract_y
_atom_site_fract_z
Nd1 Nd 0.000 0.000 0.000
Nd2 Nd 0.000 0.000 0.247
Nd3 Nd 0.000 0.000 0.500
Nd4 Nd 0.000 0.500 0.123
Nd5 Nd 0.000 0.500 0.371
Tm1 Tm 0.500 0.500 0.500
Tl1 Tl 0.500 0.500 0.000
Tl2 Tl 0.500 0.500 0.244
```

Values from the calculation:
Calculated formation energy, meV per atom: -146
DFT total energy, eV/f.u.: -71.119

(6)
The following is a PBE calculation of a geometry-optimized CuSF2 structure, from Alexandria.

The structure in CIF format:
```
data_CuSF2
_space_group_name_H-M_alt 'R -3 m'
_space_group_IT_number 166
_space_group_name_Hall '-R 3 2"'
_cell_length_a 2.7541
_cell_length_b 2.7541
_cell_length_c 23.5671
_cell_angle_alpha 90.00
_cell_angle_beta 90.00
_cell_angle_gamma 120.00
loop_
_atom_site_label
_atom_site_type_symbol
_atom_site_fract_x
_atom_site_fract_y
_atom_site_fract_z
Cu1 Cu 0.0000 0.0000 0.0000
S1 S 0.0000 0.0000 0.5000
F1 F 0.0000 0.0000 0.0756
```

Values from the calculation:
Uncorrected formation energy, meV per atom: -383
DFT total energy, eV/f.u.: -13.500

(7)
The following is a PBE calculation of a geometry-optimized Cu2BiAsO6 structure, from Alexandria.

The structure in CIF format:
```
data_Cu2BiAsO6
_space_group_name_H-M_alt 'C 1 2/c 1'
_space_group_IT_number 15
_cell_length_a 11.446
_cell_length_b 8.396
_cell_length_c 6.981
_cell_angle_alpha 90.00
_cell_angle_beta 116.04
_cell_angle_gamma 90.00
loop_
_space_group_symop_operation_xyz
'x,y,z'
'-x,-y,-z'
'-x,y,-z+1/2'
'x,-y,z+1/2'
'x+1/2,y+1/2,z'
'-x+1/2,-y+1/2,-z'
'-x+1/2,y+1/2,-z+1/2'
'x+1/2,-y+1/2,z+1/2'
loop_
_atom_site_label
_atom_site_type_symbol
_atom_site_fract_x
_atom_site_fract_y
_atom_site_fract_z
Cu1 Cu 0.194 0.039 0.115
Bi1 Bi 0.000 0.251 0.250
As1 As 0.000 0.333 0.750
O1 O 0.053 0.207 0.969
O2 O 0.115 0.458 0.735
O3 O 0.160 0.078 0.360
```

Values from the calculation:
Uncorrected formation energy, meV per atom: -883
DFT total energy, eV/f.u.: -55.306

(8)
The following is a PBE calculation of a geometry-optimized YCuTc2 structure, from Alexandria.

The structure in CIF format:
```
data_YCuTc2
_space_group_name_H-M_alt 'C 1 2/m 1'
_space_group_IT_number 12
_cell_length_a 9.610
_cell_length_b 3.175
_cell_length_c 4.812
_cell_angle_alpha 90.00
_cell_angle_beta 104.92
_cell_angle_gamma 90.00
loop_
_space_group_symop_operation_xyz
'x,y,z'
'-x,-y,-z'
'-x,y,-z'
'x,-y,z'
'x+1/2,y+1/2,z'
'-x+1/2,-y+1/2,-z'
'-x+1/2,y+1/2,-z'
'x+1/2,-y+1/2,z'
loop_
_atom_site_label
_atom_site_type_symbol
_atom_site_fract_x
_atom_site_fract_y
_atom_site_fract_z
Y1 Y 0.000 0.000 0.000
Cu1 Cu 0.000 0.500 0.500
Tc1 Tc 0.228 0.000 0.675
```

Values from the calculation:
Calculated formation energy, meV per atom: 261
DFT total energy, eV/f.u.: -30.250